## K2CaPb (GGA-PBE)

Data for a relaxed K2CaPb crystal.

a = 4.1826 Å, b = 4.1826 Å, c = 10.8805 Å
α = 90.00°, β = 90.00°, γ = 90.00°
Last column: nearest neighbours and their distance in Å.
Space group P4mm (No. 99)
Asymmetric unit:
K (0.0000, 0.0000, 0.0000) x1  4 K 4.18, 4 Ca 4.35, 1 Pb 4.65
K (0.5000, 0.5000, 0.3526) x1  4 Pb 3.81, 1 Ca 3.85, 4 K 4.18
Ca (0.5000, 0.5000, 0.7063) x1  4 Pb 3.29
Pb (0.0000, 0.0000, 0.5730) x1  4 Ca 3.29

Calculated values
**Theoretical density**: 2.84 g cm⁻³
**E**: -8.525 eV per cell